(1)
Below is crystalline ErAlZnPd2 at its relaxed geometry, with properties calculated at the PBE level.

The formation energy is -0.63 eV/atom.

The structure belongs to space group Cmme (No. 67); the cell edges are 5.273, 13.254 and 5.336 Å and the angles 90.00°, 90.00° and 90.00°. The asymmetric unit holds Er at (0.000, 0.250, 0.226), Al at (0.250, 0.000, 0.500), Zn at (0.000, 0.000, 0.000) and Pd at (0.000, 0.146, 0.699).

=====

(2)
Below is crystalline ErZrAlPd at its relaxed geometry, with properties calculated at the PBE level.

The formation energy is -0.45 eV/atom.

The structure belongs to space group F-43m (No. 216); the cell edges are 6.931, 6.931 and 6.931 Å and the angles 90.00°, 90.00° and 90.00°. The asymmetric unit holds Er at (0.000, 0.000, 0.000), Zr at (0.000, 0.000, 0.500), Al at (0.250, 0.250, 0.250) and Pd at (0.250, 0.250, 0.750).

=====

(3)
Below is crystalline PmEr12Al3 at its relaxed geometry, with properties calculated at the PBE level.

The formation energy is -0.13 eV/atom.

The structure belongs to space group P4/mmm (No. 123); the cell edges are 4.758, 4.758 and 19.421 Å and the angles 90.00°, 90.00° and 90.00°. The asymmetric unit holds Pm at (0.000, 0.000, 0.000), Er at (0.000, 0.500, 0.136), Er at (0.000, 0.500, 0.379), Er at (0.500, 0.500, 0.000), Er at (0.500, 0.500, 0.259), Er at (0.500, 0.500, 0.500), Al at (0.000, 0.000, 0.259) and Al at (0.000, 0.000, 0.500).

=====

(4)
Below is crystalline PmEr6Al2 at its relaxed geometry, with properties calculated at the PBE level.

The formation energy is -0.16 eV/atom.

The structure belongs to space group C2/m (No. 12); the cell edges are 12.436, 3.652 and 11.686 Å and the angles 90.00°, 108.14° and 90.00°. The asymmetric unit holds Pm at (0.000, 0.000, 0.000), Er at (0.019, 0.000, 0.335), Er at (0.189, 0.500, 0.874), Er at (0.190, 0.500, 0.586) and Al at (0.149, 0.500, 0.213).